{
  "formula": "TlCdP2",
  "functional": "GGA-PBE",
  "state": "optimized geometry",
  "formation_energy_ev_per_atom": 0.25,
  "dos_ef_per_ev_fu": 2.9,
  "relative_energy_kj_per_mol_atoms": 10.2,
  "lattice": [[-3.0159, 3.0159, 5.9386], [3.0159, -3.0159, 5.9386], [3.0159, 3.0159, -5.9386]],
  "species": ["Tl", "Tl", "Cd", "Cd", "P", "P", "P", "P"],
  "frac_coords": [[0.0000, 0.0000, 0.0000], [0.7500, 0.2500, 0.5000], [0.2500, 0.7500, 0.5000], [0.5000, 0.5000, 0.0000], [0.1326, 0.6250, 0.0076], [0.3750, 0.3826, 0.5076], [0.6174, 0.1250, 0.9924], [0.8750, 0.8674, 0.4924]]
}

=====

{
  "formula": "TlCdP2",
  "functional": "GGA-PBE",
  "state": "optimized geometry",
  "formation_energy_ev_per_atom": 0.20,
  "dos_ef_per_ev_fu": 1.5,
  "relative_energy_kj_per_mol_atoms": 5.7,
  "lattice": [[3.2413, 0.0000, 0.0000], [0.0000, 3.2413, 0.0000], [0.0000, 0.0000, 8.3281]],
  "species": ["Tl", "Cd", "P", "P"],
  "frac_coords": [[0.0000, 0.0000, 0.0000], [0.5000, 0.5000, 0.3182], [0.0000, 0.0000, 0.5951], [0.5000, 0.5000, 0.6822]]
}

=====

{
  "formula": "TlCdP2",
  "functional": "GGA-PBE",
  "state": "optimized geometry",
  "formation_energy_ev_per_atom": 0.49,
  "dos_ef_per_ev_fu": 2.3,
  "relative_energy_kj_per_mol_atoms": 33.8,
  "lattice": [[2.1045, -2.6606, 0.0000], [2.1045, 2.6606, 0.0000], [0.0000, 0.0000, 7.8465]],
  "species": ["Tl", "Cd", "P", "P"],
  "frac_coords": [[0.0000, 0.0000, 0.0000], [0.0000, 0.0000, 0.5000], [0.5000, 0.5000, 0.2854], [0.5000, 0.5000, 0.7146]]
}